# 1
A geometry-optimized PrZrIrPd structure, computed with GGA-PBE.

```
PrZrIrPd
1.0
-2.3679 -3.9803 -1.5921
0.6042 -1.5268 -4.6140
2.4796 -4.1242 -0.9097
Pr Ir Zr Pd
1 1 1 1
Direct
0.7500 0.7500 0.7500
0.0000 0.0000 0.0000
0.2500 0.2500 0.2500
0.5000 0.5000 0.5000
```

Values from the calculation:
As for the total DFT energy (no corrections): -7.400 eV per atom. The calculation puts the spin magnetization at 0.000 Bohr magnetons per cell. The space group is F-43m, No. 216.

# 2
A geometry-optimized IrPd3Pt4 structure, computed with GGA-PBE.

```
IrPd3Pt4
1.0
3.7920 0.0005 -1.0257
-0.2708 3.7873 -1.0073
0.2371 0.2130 8.4314
Ir Pt Pd
1 4 3
Direct
0.5000 0.0000 0.0000
0.3770 0.3768 0.7542
0.6230 0.6232 0.2458
0.1230 0.1231 0.2458
0.8770 0.8769 0.7542
0.0000 0.5000 0.0000
0.7485 0.2485 0.4968
0.2515 0.7515 0.5032
```

Values from the calculation:
As for the total DFT energy (no corrections): -6.066 eV per atom. The calculation puts the spin magnetization at 0.000 Bohr magnetons per cell. The space group is I4/mmm, No. 139.

# 3
A geometry-optimized IrPdPt14 structure, computed with GGA-PBE.

```
IrPdPt14
1.0
-0.5170 5.3851 1.3493
-2.9158 -3.8617 2.7698
6.9349 -0.8622 6.0983
Ir Pd Pt
1 1 14
Direct
0.5409 0.4591 0.5000
0.0401 0.9599 0.5000
0.2092 0.7908 0.0000
0.7090 0.2910 0.0000
0.0403 0.4587 0.5000
0.2096 0.2910 0.0000
0.5413 0.9597 0.5000
0.7090 0.7904 0.0000
0.3757 0.1264 0.7470
0.3757 0.1264 0.2530
0.8736 0.6243 0.7470
0.8736 0.6243 0.2530
0.3759 0.6241 0.7465
0.3759 0.6241 0.2535
0.8751 0.1249 0.7506
0.8751 0.1249 0.2494
```

Values from the calculation:
As for the total DFT energy (no corrections): -6.128 eV per atom. The calculation puts the spin magnetization at 0.000 Bohr magnetons per cell. The space group is Amm2, No. 38.

# 4
A geometry-optimized Ir2PdPt structure, computed with GGA-PBE.

```
Ir2PdPt
1.0
-0.5634 4.7879 -5.1308
-1.6925 -5.0880 -4.5622
-3.7153 0.1798 -4.2545
Ir Pd Pt
4 2 2
Direct
0.6319 0.1250 0.2500
0.1181 0.6250 0.2500
0.3750 0.3681 0.7500
0.8750 0.8819 0.7500
0.5000 0.5000 0.0000
0.2500 0.7500 0.5000
0.0000 0.0000 0.0000
0.7500 0.2500 0.5000
```

Values from the calculation:
As for the total DFT energy (no corrections): -6.599 eV per atom. The calculation puts the spin magnetization at 0.000 Bohr magnetons per cell. The space group is I-42d, No. 122.

# 5
A geometry-optimized IrPdPt structure, computed with GGA-PBE.

```
IrPdPt
1.0
-1.2185 -2.2388 4.9371
-2.2722 -2.6744 -1.7735
7.1281 -4.0152 -3.0776
Ir Pd Pt
4 4 4
Direct
0.1423 0.0000 0.6288
0.1423 0.5000 0.1288
0.8330 0.0000 0.9754
0.8330 0.5000 0.4754
0.4902 0.0000 0.3032
0.4902 0.5000 0.8032
0.6525 0.0000 0.6367
0.6525 0.5000 0.1367
0.9898 0.0000 0.3027
0.9898 0.5000 0.8027
0.3230 0.0000 0.9676
0.3230 0.5000 0.4676
```

Values from the calculation:
As for the total DFT energy (no corrections): -6.613 eV per atom. The calculation puts the spin magnetization at 0.001 Bohr magnetons per cell. The space group is Cm, No. 8.

# 6
A geometry-optimized IrPd2Pt structure, computed with GGA-PBE.

```
IrPd2Pt
1.0
-0.4253 -2.9001 -3.3230
3.0433 -3.1681 -0.5787
-1.0102 -4.2267 0.8639
Ir Pd Pt
1 2 1
Direct
0.5000 0.5000 0.5000
0.0000 0.0000 0.0000
0.2500 0.2500 0.2500
0.7500 0.7500 0.7500
```

Values from the calculation:
As for the total DFT energy (no corrections): -6.094 eV per atom. The calculation puts the spin magnetization at 0.000 Bohr magnetons per cell. The space group is F-43m, No. 216.

# 7
A geometry-optimized IrPd3Pt12 structure, computed with GGA-PBE.

```
IrPd3Pt12
1.0
3.9556 0.0000 0.0000
0.0000 3.9556 0.0000
0.0000 0.0000 15.8545
Ir Pd Pt
1 3 12
Direct
0.0000 0.0000 0.0000
0.0000 0.0000 0.2476
0.0000 0.0000 0.5000
0.0000 0.0000 0.7524
0.5000 0.5000 0.0000
0.5000 0.5000 0.2501
0.5000 0.5000 0.5000
0.5000 0.5000 0.7499
0.5000 0.0000 0.1229
0.5000 0.0000 0.3745
0.5000 0.0000 0.6255
0.5000 0.0000 0.8771
0.0000 0.5000 0.1229
0.0000 0.5000 0.3745
0.0000 0.5000 0.6255
0.0000 0.5000 0.8771
```

Values from the calculation:
As for the total DFT energy (no corrections): -6.067 eV per atom. The calculation puts the spin magnetization at 0.000 Bohr magnetons per cell. The space group is P4/mmm, No. 123.

# 8
A geometry-optimized IrPd6Pt structure, computed with GGA-PBE.

```
IrPd6Pt
1.0
7.1302 0.0000 1.5928
3.3872 6.2743 1.5928
2.8265 1.6862 4.1027
Ir Pd Pt
1 6 1
Direct
0.5000 0.5000 0.5000
0.1676 0.1675 0.1200
0.1675 0.5449 0.1200
0.4551 0.8324 0.8800
0.8325 0.4551 0.8800
0.8324 0.8325 0.8800
0.5449 0.1676 0.1200
0.0000 0.0000 0.0000
```

Values from the calculation:
As for the total DFT energy (no corrections): -5.136 eV per atom. The calculation puts the spin magnetization at 1.831 Bohr magnetons per cell. The space group is R-3m, No. 166.

# 9
A geometry-optimized IrPdPt6 structure, computed with GGA-PBE.

```
IrPdPt6
1.0
-3.3326 -0.3841 2.1219
2.1520 -0.3440 3.3176
-0.2712 7.7836 0.9830
Ir Pd Pt
1 1 6
Direct
0.0000 0.0000 0.5000
0.0000 0.0000 0.0000
0.5000 0.5000 0.0000
0.5000 0.5000 0.5000
0.5000 0.0000 0.2534
0.5000 0.0000 0.7466
0.0000 0.5000 0.2534
0.0000 0.5000 0.7466
```

Values from the calculation:
As for the total DFT energy (no corrections): -6.275 eV per atom. The calculation puts the spin magnetization at 0.001 Bohr magnetons per cell. The space group is P4/mmm, No. 123.

# 10
A geometry-optimized IrPdPt3 structure, computed with GGA-PBE.

```
IrPdPt3
1.0
-4.4947 0.1190 -1.7358
2.2053 -2.5622 5.2362
-1.7275 7.1407 0.5250
Ir Pd Pt
2 2 6
Direct
0.6539 0.2955 0.5455
0.3461 0.7045 0.4545
0.8500 0.6967 0.9474
0.1500 0.3033 0.0526
0.0456 0.1022 0.3532
0.9544 0.8978 0.6468
0.4465 0.8998 0.1533
0.5535 0.1002 0.8467
0.2574 0.5031 0.7481
0.7426 0.4969 0.2519
```

Values from the calculation:
As for the total DFT energy (no corrections): -6.422 eV per atom. The calculation puts the spin magnetization at 0.001 Bohr magnetons per cell. The space group is P-1, No. 2.

# 11
A geometry-optimized IrPdPt structure, computed with GGA-PBE.

```
IrPdPt
1.0
-3.9761 0.6468 2.5995
-4.6582 -1.8737 -6.6589
1.4019 -4.5914 0.3113
Ir Pd Pt
4 4 4
Direct
0.0000 0.3364 0.0000
0.0000 0.6636 0.0000
0.0000 0.8364 0.5000
0.0000 0.1636 0.5000
0.5000 0.3313 0.5000
0.5000 0.6687 0.5000
0.5000 0.8313 0.0000
0.5000 0.1687 0.0000
0.0000 0.0000 0.0000
0.0000 0.5000 0.5000
0.5000 0.0000 0.5000
0.5000 0.5000 0.0000
```

Values from the calculation:
As for the total DFT energy (no corrections): -6.633 eV per atom. The calculation puts the spin magnetization at 0.001 Bohr magnetons per cell. The space group is C2/m, No. 12.

# 12
A geometry-optimized IrPdPt structure, computed with GGA-PBE.

```
IrPdPt
1.0
2.7715 0.0000 0.0000
-1.3857 2.4002 0.0000
0.0000 0.0000 20.5401
Ir Pd Pt
3 3 3
Direct
0.0000 0.0000 0.6278
0.3333 0.6667 0.2945
0.6667 0.3333 0.9612
0.0000 0.0000 0.4028
0.3333 0.6667 0.0695
0.6667 0.3333 0.7362
0.0000 0.0000 0.8520
0.3333 0.6667 0.5187
0.6667 0.3333 0.1853
```

Values from the calculation:
As for the total DFT energy (no corrections): -6.605 eV per atom. The calculation puts the spin magnetization at 0.001 Bohr magnetons per cell. The space group is R3m, No. 160.

# 13
A geometry-optimized IrPdPt6 structure, computed with GGA-PBE.

```
IrPdPt6
1.0
5.0939 0.0000 1.1379
2.4199 4.4824 1.1379
1.0144 0.6052 7.4290
Ir Pd Pt
1 1 6
Direct
0.5000 0.5000 0.5000
0.0000 0.0000 0.0000
0.0656 0.0656 0.3086
0.0656 0.5602 0.3086
0.4398 0.9344 0.6914
0.9344 0.4398 0.6914
0.9344 0.9344 0.6914
0.5602 0.0656 0.3086
```

Values from the calculation:
As for the total DFT energy (no corrections): -5.719 eV per atom. The calculation puts the spin magnetization at 0.001 Bohr magnetons per cell. The space group is R-3m, No. 166.

# 14
A geometry-optimized IrPdPt4 structure, computed with GGA-PBE.

```
IrPdPt4
1.0
5.5035 0.0000 0.0000
0.0000 8.9463 0.1650
0.0000 2.0851 7.9951
Ir Pd Pt
4 4 16
Direct
0.2500 0.6762 0.7964
0.7500 0.8238 0.2036
0.7500 0.3238 0.2036
0.2500 0.1762 0.7964
0.7513 0.6767 0.7920
0.2513 0.8233 0.2080
0.2487 0.3233 0.2080
0.7487 0.1767 0.7920
0.4953 0.4031 0.8932
0.9953 0.0969 0.1068
0.5047 0.5969 0.1068
0.0047 0.9031 0.8932
0.9945 0.3980 0.9018
0.4945 0.1020 0.0982
0.0055 0.6020 0.0982
0.5055 0.8980 0.9018
0.2208 0.4755 0.5984
0.7208 0.0245 0.4016
0.7792 0.5245 0.4016
0.2792 0.9755 0.5984
0.5012 0.7386 0.5006
0.0012 0.7614 0.4994
0.4988 0.2614 0.4994
0.9988 0.2386 0.5006
```

Values from the calculation:
As for the total DFT energy (no corrections): -6.221 eV per atom. The calculation puts the spin magnetization at 0.003 Bohr magnetons per cell. The space group is P2_1/c, No. 14.

# 15
A geometry-optimized IrPdPt structure, computed with GGA-PBE.

```
IrPdPt
1.0
-4.0646 -3.2001 2.0477
2.6346 -1.9914 2.1174
1.0343 6.9524 5.2518
Ir Pd Pt
4 4 4
Direct
0.8947 0.0000 0.9429
0.8947 0.5000 0.4429
0.7421 0.0000 0.6116
0.7421 0.5000 0.1116
0.5700 0.0000 0.2803
0.5700 0.5000 0.7803
0.2336 0.0000 0.6096
0.2336 0.5000 0.1096
0.0608 0.0000 0.2759
0.0608 0.5000 0.7759
0.4039 0.0000 0.9477
0.4039 0.5000 0.4477
```

Values from the calculation:
As for the total DFT energy (no corrections): -6.632 eV per atom. The calculation puts the spin magnetization at 0.001 Bohr magnetons per cell. The space group is Cm, No. 8.

# 16
A geometry-optimized IrPd2Pt structure, computed with GGA-PBE.

```
IrPd2Pt
1.0
2.7713 0.0000 0.0000
0.0000 2.7713 0.0000
0.0000 0.0000 7.8862
Ir Pd Pt
1 2 1
Direct
0.5000 0.5000 0.0000
0.0000 0.0000 0.7578
0.0000 0.0000 0.2422
0.5000 0.5000 0.5000
```

Values from the calculation:
As for the total DFT energy (no corrections): -6.263 eV per atom. The calculation puts the spin magnetization at 0.000 Bohr magnetons per cell. The space group is P4/mmm, No. 123.

# 17
A geometry-optimized Ir2PdPt structure, computed with GGA-PBE.

```
Ir2PdPt
1.0
-0.5013 1.1794 -3.6655
3.6742 -1.0879 -0.8525
-1.2859 -3.5784 -0.9755
Ir Pd Pt
2 1 1
Direct
0.0000 0.0000 0.5000
0.0000 0.5000 0.0000
0.5000 0.5000 0.5000
0.5000 0.0000 0.0000
```

Values from the calculation:
As for the total DFT energy (no corrections): -7.103 eV per atom. The calculation puts the spin magnetization at 0.000 Bohr magnetons per cell. The space group is P4/mmm, No. 123.

# 18
A geometry-optimized IrPdPt structure, computed with GGA-PBE.

```
IrPdPt
1.0
-3.5927 -3.1706 -0.4381
1.1539 -1.5791 1.9651
-3.5125 3.3573 4.7603
Ir Pd Pt
2 2 2
Direct
0.4731 0.0000 0.3788
0.3190 0.5000 0.6961
0.6484 0.5000 0.0391
0.8156 0.0000 0.7023
0.9791 0.5000 0.3642
0.1578 0.0000 0.0267
```

Values from the calculation:
As for the total DFT energy (no corrections): -6.647 eV per atom. The calculation puts the spin magnetization at 0.000 Bohr magnetons per cell. The space group is Pm, No. 6.

# 19
A geometry-optimized IrPdPt structure, computed with GGA-PBE.

```
IrPdPt
1.0
-4.2444 -2.4906 2.5809
-0.5044 -2.3539 -3.1011
7.4098 -4.2487 2.0196
Ir Pd Pt
4 4 4
Direct
0.0785 0.0000 0.6662
0.9215 0.0000 0.3338
0.0785 0.5000 0.1662
0.9215 0.5000 0.8338
0.2456 0.0000 0.9973
0.7544 0.0000 0.0027
0.2456 0.5000 0.4973
0.7544 0.5000 0.5027
0.4123 0.0000 0.3294
0.5877 0.0000 0.6706
0.4123 0.5000 0.8294
0.5877 0.5000 0.1706
```

Values from the calculation:
As for the total DFT energy (no corrections): -6.623 eV per atom. The calculation puts the spin magnetization at 0.000 Bohr magnetons per cell. The space group is C2/m, No. 12.

# 20
A geometry-optimized Ir2Pd5Pt12 structure, computed with GGA-PBE.

```
Ir2Pd5Pt12
1.0
-0.2335 -5.3131 -1.3647
5.4049 -1.2806 4.0609
-6.9883 1.7885 5.2775
Ir Pd Pt
2 5 12
Direct
0.7527 0.0000 0.0000
0.2473 0.0000 0.0000
0.7526 0.5071 0.5052
0.6510 0.0920 0.3019
0.0000 0.5000 0.0000
0.3490 0.9080 0.6981
0.2474 0.4929 0.4948
0.8574 0.9289 0.7148
0.4459 0.7940 0.3944
0.9485 0.7940 0.3944
0.3580 0.3849 0.2061
0.8481 0.3849 0.2061
0.5471 0.7001 0.0941
0.4529 0.2999 0.9059
0.6420 0.6151 0.7939
0.1519 0.6151 0.7939
0.5541 0.2060 0.6056
0.0515 0.2060 0.6056
0.1426 0.0711 0.2852
```

Values from the calculation:
As for the total DFT energy (no corrections): -5.997 eV per atom. The calculation puts the spin magnetization at 0.003 Bohr magnetons per cell. The space group is C2/m, No. 12.

# 21
A geometry-optimized IrPdPt structure, computed with GGA-PBE.

```
IrPdPt
1.0
5.5644 0.0000 -0.0078
0.0000 3.9231 0.0000
-2.7963 0.0000 8.3125
Ir Pd Pt
4 4 4
Direct
0.7425 0.0000 0.0094
0.7425 0.5000 0.5094
0.8968 0.0000 0.3406
0.8968 0.5000 0.8406
0.5689 0.0000 0.6760
0.5689 0.5000 0.1760
0.4046 0.0000 0.3437
0.4046 0.5000 0.8437
0.0593 0.0000 0.6709
0.0593 0.5000 0.1709
0.2332 0.0000 0.0049
0.2332 0.5000 0.5049
```

Values from the calculation:
As for the total DFT energy (no corrections): -6.629 eV per atom. The calculation puts the spin magnetization at 0.000 Bohr magnetons per cell. The space group is Cm, No. 8.

# 22
A geometry-optimized IrPdPt structure, computed with GGA-PBE.

```
IrPdPt
1.0
-4.8838 -2.6183 0.0932
2.4009 -4.2386 6.7396
0.9764 4.1401 2.2559
Ir Pd Pt
4 4 4
Direct
0.7500 0.0772 0.7500
0.2500 0.9228 0.2500
0.7500 0.5772 0.2500
0.2500 0.4228 0.7500
0.7500 0.4157 0.7500
0.2500 0.5843 0.2500
0.7500 0.9157 0.2500
0.2500 0.0843 0.7500
0.7500 0.7520 0.7500
0.2500 0.2480 0.2500
0.7500 0.2520 0.2500
0.2500 0.7480 0.7500
```

Values from the calculation:
As for the total DFT energy (no corrections): -6.620 eV per atom. The calculation puts the spin magnetization at 0.000 Bohr magnetons per cell. The space group is C2/c, No. 15.